## MgTiTlBr6 (PBE)

Data for crystalline MgTiTlBr6 at its relaxed geometry.

Properties
Uncorrected formation energy (eV per atom): -1.20
Total magnetic moment (μB/atom): 0.111
Volume (Å³ per atom): 33.57

Unit cell a=6.9030 b=6.9030 c=14.6424 alpha=90.00 beta=90.00 gamma=120.00
Closest atoms and distances in Å follow each position.
Space group P-31c (No. 163)
Asymmetric unit:
Mg1 0.3333 0.6667 0.2500 x2  6 Br 2.69
Ti1 0.3333 0.6667 0.7500 x2  6 Br 2.60
Tl1 0.0000 0.0000 0.0000 x2  6 Br 3.36
Br1 0.0096 0.3791 0.6468 x12  1 Ti 2.60, 1 Mg 2.69

---

## MnAsCl2 (PBE)

Data for crystalline MnAsCl2 at its relaxed geometry.

Properties
Uncorrected formation energy (eV per atom): -0.20
Total magnetic moment (μB/atom): 0.940
Excess energy over the best structure of this formula in the dataset (eV per atom): 0.2203
Volume (Å³ per atom): 25.44

Unit cell a=3.2717 b=4.4492 c=13.9804 alpha=90.00 beta=90.00 gamma=90.00
Closest atoms and distances in Å follow each position.
Space group Immm (No. 71)
Asymmetric unit:
Mn1 0.0000 0.0000 0.0000 x2  4 Cl 2.52, 4 As 2.76
As1 0.0000 0.0000 0.5000 x2  4 Mn 2.76, 4 Cl 2.94
Cl1 0.0000 0.5000 0.3625 x4  2 Mn 2.52

---

## Ac2HfHg (PBE)

Data for crystalline Ac2HfHg at its relaxed geometry.

Properties
Total magnetic moment (μB/atom): 0.095
Formation energy (meV/atom): 440
Volume (Å³ per atom): 33.23

Unit cell a=3.5681 b=3.5681 c=36.1650 alpha=90.00 beta=90.00 gamma=120.00
Closest atoms and distances in Å follow each position.
Space group R-3m (No. 166, hexagonal axes)
Asymmetric unit:
Ac1 0.0000 0.0000 0.0890 x6  1 Hf 3.22, 3 Hg 3.48, 6 Ac 3.57
Hf1 0.0000 0.0000 0.0000 x3  2 Ac 3.22, 6 Hf 3.57
Hg1 0.0000 0.0000 0.5000 x3  6 Ac 3.48, 6 Hg 3.57

---

## BeHg2Os (PBE)

Data for crystalline BeHg2Os at its relaxed geometry.

Properties
Total magnetic moment (μB/atom): 0.177
Formation energy (meV/atom): 1048
Volume (Å³ per atom): 18.32

Unit cell a=3.8948 b=3.8948 c=19.3220 alpha=90.00 beta=90.00 gamma=90.00
Closest atoms and distances in Å follow each position.
Space group I-42d (No. 122)
Asymmetric unit:
Be1 0.0000 0.0000 0.0000 x4  4 Os 2.75, 4 Hg 2.78
Hg1 0.2493 0.2500 0.1250 x8  4 Hg 2.75-2.76, 2 Be 2.78, 2 Os 2.78
Os1 0.0000 0.0000 0.5000 x4  4 Be 2.75, 4 Hg 2.78